Record 1
Y3Fe29 | GGA-PBEsol | optimized geometry

```
Y3Fe29
1.0
4.6763 -4.1066 0.0000
4.6763 4.1066 0.0000
-1.1743 0.0000 10.1207
Y Fe
3 29
direct
0.0000 0.0000 0.0000
0.1870 0.1870 0.5973
0.8130 0.8130 0.4027
0.0000 0.5000 0.0000
0.0929 0.0929 0.2935
0.0981 0.5940 0.8010
0.1263 0.6874 0.1978
0.1654 0.4580 0.3783
0.1914 0.6889 0.5959
0.2788 0.2788 0.8914
0.2917 0.2917 0.1411
0.3111 0.8086 0.4041
0.3126 0.8737 0.8022
0.3598 0.6402 0.0000
0.4060 0.9019 0.1990
0.4580 0.1654 0.3783
0.4819 0.4819 0.7470
0.5000 0.0000 0.0000
0.5000 0.5000 0.5000
0.5181 0.5181 0.2530
0.5420 0.8346 0.6217
0.5940 0.0981 0.8010
0.6402 0.3598 0.0000
0.6874 0.1263 0.1978
0.6889 0.1914 0.5959
0.7083 0.7083 0.8589
0.7212 0.7212 0.1086
0.8086 0.3111 0.4041
0.8346 0.5420 0.6217
0.8737 0.3126 0.8022
0.9019 0.4060 0.1990
0.9071 0.9071 0.7065
```

The energy of formation is 22 meV/atom. The crystal system is monoclinic.



Record 2
YZrFe | GGA-PBEsol | optimized geometry

```
YZrFe
1.0
-1.6089 1.6089 5.8947
1.6089 -1.6089 5.8947
1.6089 1.6089 -5.8947
Y Zr Fe
1 1 1
direct
0.0000 0.0000 0.0000
0.7352 0.7352 0.0000
0.3443 0.3443 0.0000
```

The energy of formation is 40 meV/atom. The crystal system is tetragonal.



Record 3
Zn5Fe | GGA-PBEsol | optimized geometry

```
Zn5Fe
1.0
4.8800 -1.3079 0.0000
4.8800 1.3079 0.0000
-1.5948 0.0000 6.1395
Zn Fe
5 1
direct
0.0000 0.0000 0.0000
0.0565 0.0565 0.6221
0.3911 0.3911 0.2933
0.6716 0.6716 0.3442
0.7307 0.7307 0.9386
0.3337 0.3337 0.6653
```

The energy of formation is 1 meV/atom. The crystal system is monoclinic.



Record 4
ZnFe | GGA-PBEsol | optimized geometry

```
ZnFe
1.0
2.5502 0.0000 0.0000
-1.2751 2.2085 0.0000
0.0000 0.0000 4.2098
Zn Fe
1 1
direct
0.0000 0.0000 0.0000
0.3333 0.6667 0.5000
```

The energy of formation is 75 meV/atom. The crystal system is hexagonal.



Q: The lowest energy of formation belongs to which entry?
A: Zn5Fe



Q: Which of these has the highest energy of formation?
A: ZnFe